# PBE-GGA Sm2TcO6, relaxed
# uncorrected formation energy	-2.437	eV per atom
# VASP energy	-142.97	eV for the cell shown
data_Sm2TcO6
_cell_length_a 5.086
_cell_length_b 5.086
_cell_length_c 10.217
_cell_angle_alpha 90.00
_cell_angle_beta 90.00
_cell_angle_gamma 90.00
_symmetry_space_group_name_H-M 'P 1'
_symmetry_Int_Tables_number 1
loop_
_symmetry_equiv_pos_as_xyz
'x,y,z'
loop_
_atom_site_label
_atom_site_type_symbol
_atom_site_fract_x
_atom_site_fract_y
_atom_site_fract_z
_atom_site_occupancy
Sm1 Sm 0.000 0.000 0.172 1
Sm2 Sm 0.000 0.000 0.828 1
Sm3 Sm 0.500 0.500 0.328 1
Sm4 Sm 0.500 0.500 0.672 1
Tc1 Tc 0.000 0.000 0.500 1
Tc2 Tc 0.500 0.500 0.000 1
O1 O 0.185 0.185 0.356 1
O2 O 0.185 0.185 0.644 1
O3 O 0.238 0.238 0.000 1
O4 O 0.262 0.738 0.500 1
O5 O 0.315 0.685 0.144 1
O6 O 0.315 0.685 0.856 1
O7 O 0.685 0.315 0.144 1
O8 O 0.685 0.315 0.856 1
O9 O 0.738 0.262 0.500 1
O10 O 0.762 0.762 0.000 1
O11 O 0.815 0.815 0.356 1
O12 O 0.815 0.815 0.644 1

# PBE-GGA Tb2Y3Sc4, relaxed
# VASP energy	-107.13	eV for the cell shown
# ΔH_f (0 K)	0.046	eV per atom
data_Tb2Y3Sc4
_cell_length_a 6.563
_cell_length_b 8.289
_cell_length_c 10.296
_cell_angle_alpha 78.06
_cell_angle_beta 74.70
_cell_angle_gamma 76.27
_symmetry_space_group_name_H-M 'P 1'
_symmetry_Int_Tables_number 1
loop_
_symmetry_equiv_pos_as_xyz
'x,y,z'
loop_
_atom_site_label
_atom_site_type_symbol
_atom_site_fract_x
_atom_site_fract_y
_atom_site_fract_z
_atom_site_occupancy
Tb1 Tb 0.089 0.170 0.125 1
Tb2 Tb 0.384 0.830 0.632 1
Tb3 Tb 0.616 0.170 0.368 1
Tb4 Tb 0.911 0.830 0.875 1
Y1 Y 0.235 0.479 0.549 1
Y2 Y 0.378 0.823 0.966 1
Y3 Y 0.384 0.826 0.297 1
Y4 Y 0.616 0.174 0.703 1
Y5 Y 0.622 0.177 0.034 1
Y6 Y 0.765 0.521 0.451 1
Sc1 Sc 0.084 0.167 0.790 1
Sc2 Sc 0.091 0.161 0.460 1
Sc3 Sc 0.241 0.475 0.883 1
Sc4 Sc 0.241 0.479 0.210 1
Sc5 Sc 0.759 0.521 0.790 1
Sc6 Sc 0.759 0.525 0.117 1
Sc7 Sc 0.909 0.839 0.540 1
Sc8 Sc 0.916 0.833 0.210 1

Number 1: M_tot 1.01 μB per formula unit. Number 2: M_tot 0.02 μB per formula unit.